# Sc2CuSb

Sc2CuSb after structural relaxation (PBE, Alexandria).

Values from the calculation:
Total magnetic moment = 0.00 μB per formula unit
Crystal system = tetragonal
Calculated total energy = -5.5594 eV per atom
Mass density = 5.176 Mg/m³

Structure (CIF):
```
data_Sc2CuSb
_chemical_formula_sum 'Sc2 Cu1 Sb1'
_symmetry_space_group_name_H-M 'P 4 m m'
_symmetry_Int_Tables_number 99
_cell_length_a 3.915
_cell_length_b 3.915
_cell_length_c 5.762
_cell_angle_alpha 90.00
_cell_angle_beta 90.00
_cell_angle_gamma 90.00
loop_
_symmetry_equiv_pos_as_xyz
'x,y,z'
'-y,x,z'
'-x,-y,z'
'y,-x,z'
'-x,y,z'
'y,x,z'
'x,-y,z'
'-y,-x,z'
loop_
_atom_site_label
_atom_site_type_symbol
_atom_site_fract_x
_atom_site_fract_y
_atom_site_fract_z
Sc1 Sc 0.000 0.000 0.000
Sc2 Sc 0.500 0.500 0.336
Cu1 Cu 0.000 0.000 0.479
Sb1 Sb 0.500 0.500 0.832
```